Record 1
Crystalline ReRhCl2 at its relaxed geometry, computed with PBE.

CIF file:
```
data_ReRhCl2
_chemical_formula_sum 'Re2 Rh2 Cl4'
_space_group_name_H-M_alt 'C 1 2/m 1'
_space_group_IT_number 12
_cell_length_a 12.567
_cell_length_b 2.960
_cell_length_c 4.647
_cell_angle_alpha 90.00
_cell_angle_beta 97.53
_cell_angle_gamma 90.00
loop_
_space_group_symop_operation_xyz
'x,y,z'
'-x,-y,-z'
'-x,y,-z'
'x,-y,z'
'x+1/2,y+1/2,z'
'-x+1/2,-y+1/2,-z'
'-x+1/2,y+1/2,-z'
'x+1/2,-y+1/2,z'
loop_
_atom_site_label
_atom_site_fract_x
_atom_site_fract_y
_atom_site_fract_z
Re1 0.000 0.000 0.000
Rh1 0.000 0.500 0.500
Cl1 0.141 0.500 0.207
```

Formation energy (no corrections) (eV per formula unit): 1.22

---

Record 2
Crystalline NaTmPb at its relaxed geometry, computed with PBE.

CIF file:
```
data_NaTmPb
_chemical_formula_sum 'Na4 Tm4 Pb4'
_space_group_name_H-M_alt 'F -4 3 m'
_space_group_IT_number 216
_space_group_name_Hall 'F -4 2 3'
_cell_length_a 7.279
_cell_length_b 7.279
_cell_length_c 7.279
_cell_angle_alpha 90.00
_cell_angle_beta 90.00
_cell_angle_gamma 90.00
loop_
_atom_site_label
_atom_site_fract_x
_atom_site_fract_y
_atom_site_fract_z
Na1 0.000 0.000 0.000
Tm1 0.000 0.000 0.500
Pb1 0.250 0.250 0.250
```

Formation energy from the elements (eV per atom): -0.14

---

Question: What is the formula in the first record?
Answer: ReRhCl2

---

Question: Number 1 is which compound?
Answer: ReRhCl2